4
Lattice="4.995 0.000 0.000 0.000 4.995 0.000 0.000 0.000 3.448" Properties=species:S:1:pos:R:3 comment="SrScPd2 PBE-GGA relaxed" total_energy_ev_per_atom=-5.17 relative_energy_mev_per_atom=155.8 m_tot_mub_per_atom=0.0000 ef_ev_per_atom=-0.570 pbc="T T T"
Sr 0.000 0.000 0.000
Sc 2.497 2.497 0.000
Pd 0.000 2.497 1.724
Pd 2.497 0.000 1.724